Entry from Alexandria via LeMat-Bulk: crystalline Tl4CuSe at its relaxed geometry (GGA-PBE).

## Properties
The value obtained for the mass density is 8.75 g/cm³. For the raw formation energy, the calculation gives 401 meV per atom. For the total energy, the calculation gives -58.5 eV for the cell shown.

The structure in CIF format:
```
data_Tl4CuSe
_chemical_formula_sum 'Tl16 Cu4 Se4'
_symmetry_space_group_name_H-M 'F -4 3 m'
_symmetry_Int_Tables_number 216
_symmetry_space_group_name_Hall 'F -4 2 3'
_cell_length_a 9.001
_cell_length_b 9.001
_cell_length_c 9.001
_cell_angle_alpha 90.00
_cell_angle_beta 90.00
_cell_angle_gamma 90.00
loop_
_atom_site_label
_atom_site_type_symbol
_atom_site_fract_x
_atom_site_fract_y
_atom_site_fract_z
Tl1 Tl 0.125 0.125 0.125
Cu1 Cu 0.250 0.250 0.750
Se1 Se 0.000 0.000 0.500
```